# Li4Si2IrPd | OQMD via LeMat-Bulk | PBE-GGA | optimized geometry
# - M_tot (μB/f.u.) = 0.00
# - E_tot (eV per atom) = -4.61
data_Li4Si2IrPd
_chemical_formula_sum 'Li4 Si2 Ir1 Pd1'
_cell_length_a 4.148
_cell_length_b 4.148
_cell_length_c 5.828
_cell_angle_alpha 90.00
_cell_angle_beta 90.00
_cell_angle_gamma 90.00
_symmetry_space_group_name_H-M 'P -4 m 2'
_symmetry_Int_Tables_number 115
_symmetry_space_group_name_Hall 'P -4 -2'
loop_
_atom_site_label
_atom_site_type_symbol
_atom_site_fract_x
_atom_site_fract_y
_atom_site_fract_z
Li1 Li 0.000 0.000 0.000
Li2 Li 0.000 0.500 0.744
Li3 Li 0.500 0.500 0.500
Si1 Si 0.000 0.500 0.231
Ir1 Ir 0.500 0.500 0.000
Pd1 Pd 0.000 0.000 0.500